## SmTm4Sb5 (PBE-GGA)

Data for SmTm4Sb5 after structural relaxation.

Results
For the total magnetic moment, the calculation gives 0.00 μB per cell. The formation energy from raw total energies comes out at -1.085 eV per atom. As for the density: 8.11 Mg/m³. For the total energy, the calculation gives -5.41 eV per atom.

Lattice parameters (Å, degrees): 4.3641 6.1739 21.8091 90.00 90.00 90.00
Last column: nearest neighbours and their distance in Å.
Space group Immm (No. 71)
Unique sites:
Sm 0.0000 0.0000 0.0000 [2 per cell]  6 Sb 3.09-3.14
Tm 0.0000 0.0000 0.2017 [4 per cell]  6 Sb 3.06-3.09
Tm 0.0000 0.0000 0.3999 [4 per cell]  6 Sb 3.07-3.09
Sb 0.0000 0.5000 0.0000 [2 per cell]  4 Tm 3.09, 2 Sm 3.09
Sb 0.0000 0.5000 0.1994 [4 per cell]  6 Tm 3.07-3.09
Sb 0.0000 0.5000 0.3966 [4 per cell]  4 Tm 3.06-3.09, 2 Sm 3.14